# PBE-GGA K3La2ErTe6, optimized geometry
# Magnetization (μB per cell): 0.0
# E_tot (eV/atom): -4.502
# DOS at the Fermi energy (states/eV per atom): 0.00
data_K3La2ErTe6
_chemical_formula_sum 'K6 La4 Er2 Te12'
_symmetry_space_group_name_H-M 'C 1 2/m 1'
_symmetry_Int_Tables_number 12
_symmetry_space_group_name_Hall '-C 2y'
_cell_length_a 8.0242
_cell_length_b 13.9016
_cell_length_c 8.6574
_cell_angle_alpha 90.00
_cell_angle_beta 108.04
_cell_angle_gamma 90.00
loop_
_atom_site_label
_atom_site_fract_x
_atom_site_fract_y
_atom_site_fract_z
K1 0.0000 0.0000 0.0000
K2 0.0000 0.3304 0.0000
La1 0.0000 0.1662 0.5000
Er1 0.0000 0.5000 0.5000
Te1 0.2312 0.3395 0.7126
Te2 0.2492 0.5000 0.2869


# PBE-GGA K3La3ErTe8, optimized geometry
# Magnetization (μB per cell): 0.0
# E_tot (eV/atom): -4.559
# DOS at the Fermi energy (states/eV per atom): 0.78
data_K3La3ErTe8
_chemical_formula_sum 'K6 La6 Er2 Te16'
_symmetry_space_group_name_H-M 'C 1 2/m 1'
_symmetry_Int_Tables_number 12
_symmetry_space_group_name_Hall '-C 2y'
_cell_length_a 16.0032
_cell_length_b 9.2265
_cell_length_c 9.9519
_cell_angle_alpha 90.00
_cell_angle_beta 122.46
_cell_angle_gamma 90.00
loop_
_atom_site_label
_atom_site_fract_x
_atom_site_fract_y
_atom_site_fract_z
K1 0.0000 0.0000 0.0000
K2 0.2500 0.2500 0.0000
La1 0.0000 0.5000 0.5000
La2 0.2500 0.2500 0.5000
Er1 0.0000 0.0000 0.5000
Te1 0.0108 0.2400 0.2923
Te2 0.2293 0.0000 0.7077
Te3 0.2394 0.5000 0.7181


# PBE-GGA K3LaEr2Te6, optimized geometry
# Magnetization (μB per cell): 0.0
# E_tot (eV/atom): -4.433
# DOS at the Fermi energy (states/eV per atom): 0.00
data_K3LaEr2Te6
_chemical_formula_sum 'K6 La2 Er4 Te12'
_symmetry_space_group_name_H-M 'C 1 2/m 1'
_symmetry_Int_Tables_number 12
_symmetry_space_group_name_Hall '-C 2y'
_cell_length_a 7.8803
_cell_length_b 13.6526
_cell_length_c 8.6481
_cell_angle_alpha 90.00
_cell_angle_beta 107.73
_cell_angle_gamma 90.00
loop_
_atom_site_label
_atom_site_fract_x
_atom_site_fract_y
_atom_site_fract_z
K1 0.0000 0.0000 0.0000
K2 0.0000 0.3364 0.0000
La1 0.0000 0.5000 0.5000
Er1 0.0000 0.1671 0.5000
Te1 0.2235 0.0000 0.7091
Te2 0.2432 0.3270 0.7099


# PBE-GGA K4La3ErTe8, optimized geometry
# Magnetization (μB per cell): 0.0
# E_tot (eV/atom): -4.519
# DOS at the Fermi energy (states/eV per atom): 0.00
data_K4La3ErTe8
_chemical_formula_sum 'K12 La9 Er3 Te24'
_symmetry_space_group_name_H-M 'R -3 m'
_symmetry_Int_Tables_number 166
_symmetry_space_group_name_Hall '-R 3 2"'
_cell_length_a 9.3077
_cell_length_b 9.3077
_cell_length_c 24.6998
_cell_angle_alpha 90.00
_cell_angle_beta 90.00
_cell_angle_gamma 120.00
loop_
_atom_site_label
_atom_site_fract_x
_atom_site_fract_y
_atom_site_fract_z
K1 0.0000 0.0000 0.0000
K2 0.0000 0.5000 0.0000
La1 0.0000 0.5000 0.5000
Er1 0.0000 0.0000 0.5000
Te1 0.0000 0.0000 0.2393
Te2 0.0118 0.5059 0.2373


# PBE-GGA KLa2ErTe4, optimized geometry
# Magnetization (μB per cell): 0.0
# E_tot (eV/atom): -4.915
# DOS at the Fermi energy (states/eV per atom): 0.44
data_KLa2ErTe4
_chemical_formula_sum 'K1 La2 Er1 Te4'
_symmetry_space_group_name_H-M 'P 1 2/m 1'
_symmetry_Int_Tables_number 10
_symmetry_space_group_name_Hall '-P 2y'
_cell_length_a 7.9023
_cell_length_b 4.5296
_cell_length_c 8.0069
_cell_angle_alpha 90.00
_cell_angle_beta 108.78
_cell_angle_gamma 90.00
loop_
_atom_site_label
_atom_site_fract_x
_atom_site_fract_y
_atom_site_fract_z
K1 0.0000 0.0000 0.0000
La1 0.5000 0.0000 0.5000
La2 0.5000 0.5000 0.0000
Er1 0.0000 0.5000 0.5000
Te1 0.2385 0.0000 0.7345
Te2 0.2504 0.5000 0.2649


# PBE-GGA KLiEr2O4, optimized geometry
# Magnetization (μB per cell): 0.0
# E_tot (eV/atom): -6.880
# DOS at the Fermi energy (states/eV per atom): 0.00
data_KLiEr2O4
_chemical_formula_sum 'K4 Li4 Er8 O16'
_symmetry_space_group_name_H-M 'C m c m'
_symmetry_Int_Tables_number 63
_symmetry_space_group_name_Hall '-C 2c 2'
_cell_length_a 3.4233
_cell_length_b 11.4411
_cell_length_c 11.5463
_cell_angle_alpha 90.00
_cell_angle_beta 90.00
_cell_angle_gamma 90.00
loop_
_atom_site_label
_atom_site_fract_x
_atom_site_fract_y
_atom_site_fract_z
K1 0.0000 0.0985 0.2500
Li1 0.0000 0.1794 0.7500
Er1 0.0000 0.3658 0.0590
O1 0.0000 0.0000 0.0000
O2 0.0000 0.2524 0.6007
O3 0.0000 0.4050 0.2500


# PBE-GGA KLiEr2S4, optimized geometry
# Magnetization (μB per cell): 0.0
# E_tot (eV/atom): -5.434
# DOS at the Fermi energy (states/eV per atom): 0.00
data_KLiEr2S4
_chemical_formula_sum 'K4 Li4 Er8 S16'
_symmetry_space_group_name_H-M 'C m c m'
_symmetry_Int_Tables_number 63
_symmetry_space_group_name_Hall '-C 2c 2'
_cell_length_a 3.9929
_cell_length_b 13.3462
_cell_length_c 13.8506
_cell_angle_alpha 90.00
_cell_angle_beta 90.00
_cell_angle_gamma 90.00
loop_
_atom_site_label
_atom_site_fract_x
_atom_site_fract_y
_atom_site_fract_z
K1 0.0000 0.1075 0.2500
Li1 0.0000 0.1675 0.7500
Er1 0.0000 0.3660 0.0615
S1 0.0000 0.0000 0.0000
S2 0.0000 0.2621 0.6067
S3 0.0000 0.4254 0.2500


# PBE-GGA KErMgSe3, optimized geometry
# Magnetization (μB per cell): 0.0
# E_tot (eV/atom): -4.499
# DOS at the Fermi energy (states/eV per atom): 0.00
data_KErMgSe3
_chemical_formula_sum 'K2 Er2 Mg2 Se6'
_symmetry_space_group_name_H-M 'P 1 21/m 1'
_symmetry_Int_Tables_number 11
_symmetry_space_group_name_Hall '-P 2yb'
_cell_length_a 9.0202
_cell_length_b 4.2250
_cell_length_c 10.0990
_cell_angle_alpha 90.00
_cell_angle_beta 107.77
_cell_angle_gamma 90.00
loop_
_atom_site_label
_atom_site_fract_x
_atom_site_fract_y
_atom_site_fract_z
K1 0.2078 0.2500 0.2242
Er1 0.3322 0.7500 0.8662
Mg1 0.0850 0.2500 0.6106
Se1 0.1140 0.2500 0.8669
Se2 0.2105 0.7500 0.5439
Se3 0.4631 0.7500 0.1551


# PBE-GGA K3Er3MgTe8, optimized geometry
# Magnetization (μB per cell): 0.0
# E_tot (eV/atom): -4.032
# DOS at the Fermi energy (states/eV per atom): 0.80
data_K3Er3MgTe8
_chemical_formula_sum 'K6 Er6 Mg2 Te16'
_symmetry_space_group_name_H-M 'C 1 2/m 1'
_symmetry_Int_Tables_number 12
_symmetry_space_group_name_Hall '-C 2y'
_cell_length_a 14.9163
_cell_length_b 8.6476
_cell_length_c 9.9084
_cell_angle_alpha 90.00
_cell_angle_beta 119.98
_cell_angle_gamma 90.00
loop_
_atom_site_label
_atom_site_fract_x
_atom_site_fract_y
_atom_site_fract_z
K1 0.0000 0.0000 0.0000
K2 0.2500 0.2500 0.0000
Er1 0.0000 0.5000 0.5000
Er2 0.2500 0.2500 0.5000
Mg1 0.0000 0.0000 0.5000
Te1 0.0151 0.2507 0.2952
Te2 0.2350 0.0000 0.7046
Te3 0.2363 0.5000 0.7086